Record 1
Sn2Pd2Br | PBE-GGA | optimized geometry

Output
- Energy above the most stable polymorph in this dataset: 0.0088 eV per atom
- Uncorrected formation energy: -0.291 eV per atom

Cell lengths 4.094, 4.094, 7.434 Å; angles 74.02, 74.02, 90.00 degrees
Sites, in units of the cell vectors:
1 Br 0.000 0.000 0.000
2 Pd 0.750 0.250 0.500
3 Pd 0.250 0.750 0.500
4 Sn 0.616 0.616 0.768
5 Sn 0.384 0.384 0.232

Record 2
CuPd4Rh | PBE-GGA | optimized geometry

Output
- Energy above the most stable polymorph in this dataset: 0.0000 eV per atom
- Energy of formation from the pure elements: 0.065 eV/atom

Cell lengths 2.722, 8.237, 8.123 Å; angles 90.00, 99.64, 90.00 degrees
Last column: magnetic moment on the atom in μB.
Sites, in units of the cell vectors:
1 Cu 0.575 0.250 0.150  0.03
2 Cu 0.425 0.750 0.850  0.03
3 Rh 0.251 0.750 0.502  0.83
4 Rh 0.749 0.250 0.498  0.83
5 Pd 0.000 0.500 0.000  0.13
6 Pd 0.593 0.750 0.186  0.17
7 Pd 0.834 0.522 0.668  0.26
8 Pd 0.166 0.022 0.332  0.26
9 Pd 0.000 0.000 0.000  0.13
10 Pd 0.166 0.478 0.332  0.26
11 Pd 0.407 0.250 0.814  0.17
12 Pd 0.834 0.978 0.668  0.26

Record 3
AcSn8Rh2 | PBE-GGA | optimized geometry

Output
- Energy of formation from the pure elements: -0.203 eV/atom

Cell lengths 6.466, 6.466, 8.228 Å; angles 90.00, 90.00, 90.00 degrees
Sites, in units of the cell vectors:
1 Sn 0.247 0.247 0.189
2 Sn 0.247 0.753 0.189
3 Sn 0.753 0.753 0.189
4 Sn 0.247 0.753 0.811
5 Sn 0.753 0.247 0.189
6 Sn 0.753 0.753 0.811
7 Sn 0.247 0.247 0.811
8 Sn 0.753 0.247 0.811
9 Ac 0.500 0.500 0.500
10 Rh 0.000 0.500 0.000
11 Rh 0.500 0.000 0.000

Record 4
FeBi3Au | PBE-GGA | optimized geometry

Output
- Energy above the most stable polymorph in this dataset: 0.0000 eV per atom
- Energy of formation from the pure elements: 0.461 eV/atom

Cell lengths 5.073, 5.073, 5.073 Å; angles 90.00, 90.00, 90.00 degrees
Sites, in units of the cell vectors:
1 Au 0.500 0.500 0.500
2 Bi 0.000 0.500 0.000
3 Bi 0.500 0.000 0.000
4 Bi 0.000 0.000 0.500
5 Fe 0.000 0.000 0.000

Record 5
SiMoPb2 | PBE-GGA | optimized geometry

Output
- Uncorrected formation energy: 0.556 eV per atom

Cell lengths 5.845, 5.845, 5.147 Å; angles 74.25, 74.25, 31.96 degrees
Sites, in units of the cell vectors:
1 Si 0.447 0.447 0.511
2 Pb 0.233 0.233 0.292
3 Pb 0.032 0.032 0.929
4 Mo 0.788 0.788 0.767

Record 6
HfSc2SiH | PBE-GGA | optimized geometry

Output
- Electronic total energy: -6.676 eV per atom

Cell lengths 4.280, 4.280, 4.315 Å; angles 90.00, 90.00, 90.00 degrees
Sites, in units of the cell vectors:
1 Si 0.500 0.500 0.500
2 Sc 0.500 0.000 0.000
3 Sc 0.000 0.500 0.000
4 Hf 0.000 0.000 0.500
5 H 0.000 0.000 0.000

Record 7
LiCaRe4 | PBE-GGA | optimized geometry

Output
- Energy of formation from the pure elements: 0.391 eV/atom

Cell lengths 5.318, 5.318, 5.318 Å; angles 60.00, 60.00, 60.00 degrees
Sites, in units of the cell vectors:
1 Re 0.374 0.374 0.877
2 Re 0.877 0.374 0.374
3 Re 0.374 0.877 0.374
4 Re 0.374 0.374 0.374
5 Li 0.000 0.000 0.000
6 Ca 0.750 0.750 0.750

Record 8
Ti2CrCo | PBE-GGA | optimized geometry

Output
- Energy of formation from the pure elements: -0.231 eV/atom

Cell lengths 2.991, 2.991, 6.010 Å; angles 90.00, 90.00, 90.00 degrees
Last column: magnetic moment on the atom in μB.
Sites, in units of the cell vectors:
1 Ti 0.000 0.000 0.751  -0.07
2 Ti 0.000 0.000 0.249  -0.07
3 Co 0.500 0.500 0.500  0.34
4 Cr 0.500 0.500 0.000  0.14

Record 9
VFe2N | PBE-GGA | optimized geometry

Output
- Uncorrected formation energy: 0.267 eV per atom

Cell lengths 4.907, 4.907, 5.331 Å; angles 62.60, 62.60, 90.00 degrees
Sites, in units of the cell vectors:
1 V 0.000 0.000 0.000
2 V 0.750 0.250 0.500
3 N 0.250 0.750 0.500
4 N 0.500 0.500 0.000
5 Fe 0.875 0.786 0.750
6 Fe 0.536 0.125 0.250
7 Fe 0.214 0.625 0.250
8 Fe 0.375 0.464 0.750

Record 10
Sm4MgTlZn2 | PBE-GGA | optimized geometry

Output
- Energy of formation from the pure elements: -0.256 eV/atom

Cell lengths 5.282, 5.282, 9.295 Å; angles 73.49, 73.49, 60.00 degrees
Sites, in units of the cell vectors:
1 Sm 0.875 0.875 0.375
2 Sm 0.624 0.624 0.129
3 Sm 0.376 0.376 0.871
4 Sm 0.125 0.125 0.625
5 Zn 0.242 0.242 0.273
6 Zn 0.758 0.758 0.727
7 Tl 0.000 0.000 0.000
8 Mg 0.500 0.500 0.500

Record 11
RbBaCl2 | PBE-GGA | optimized geometry

Output
- Energy above the most stable polymorph in this dataset: 0.2551 eV per atom
- Uncorrected formation energy: -1.576 eV per atom

Cell lengths 5.659, 5.659, 5.659 Å; angles 60.00, 60.00, 60.00 degrees
Last column: magnetic moment on the atom in μB.
Sites, in units of the cell vectors:
1 Cl 0.250 0.250 0.250  0.00
2 Cl 0.750 0.750 0.750  0.00
3 Ba 0.500 0.500 0.500  0.28
4 Rb 0.000 0.000 0.000  0.04

Record 12
NaPuAg4 | PBE-GGA | optimized geometry

Output
- Energy of formation from the pure elements: 0.044 eV/atom

Cell lengths 5.700, 5.700, 5.700 Å; angles 60.00, 60.00, 60.00 degrees
Last column: magnetic moment on the atom in μB.
Sites, in units of the cell vectors:
1 Ag 0.625 0.625 0.124  0.06
2 Ag 0.625 0.124 0.625  0.06
3 Ag 0.625 0.625 0.625  0.06
4 Ag 0.124 0.625 0.625  0.06
5 Pu 0.250 0.250 0.250  5.70
6 Na 0.000 0.000 0.000  0.02